Crystalline La2TlRu at its relaxed geometry, computed with GGA-PBEsol.

Cell: 3.426 3.426 8.720 Å, 90.00 90.00 90.00°
Space group P4/mmm (No. 123)
Asymmetric unit:
1 La 0.000 0.000 0.202
2 Tl 0.500 0.500 0.500
3 Ru 0.500 0.500 0.000

Properties
Formation energy from the elements (eV per atom): -0.273
Excess energy over the best structure of this formula in the dataset (meV per atom): 8
Total DFT energy (no corrections) (eV/f.u.): -24.59